This record from Alexandria via LeMat-Bulk describes a crystal of Zn2Au relaxed with PBEsol. The functional is meta-GGA SCAN.

a = 5.4852 Å, b = 5.4681 Å, c = 12.1324 Å
α = 90.00°, β = 102.78°, γ = 90.00°
Space group C2/c (No. 15)
Symmetry-distinct sites (fractional):
Zn: 0.0833 0.1250 0.4162 x8
Zn: 0.2500 0.1250 0.7499 x8
Au: 0.0800 0.3749 0.9091 x8

Properties
raw total energy: -32.251 eV/atom
energy relative to the elements: -0.188 eV/atom